Ag3Sb4Te8: relaxed, PBE.

Output
Spin magnetization, μB per formula unit: 0.0
DOS(E_F), states/eV per cell: 7.7
Theoretical density, Mg/m³: 6.72
Formation energy (no corrections), eV/atom: -0.0533
Calculated total energy, eV per atom: -3.398

Cell lengths 8.630, 8.599, 8.599 Å; angles 90.35, 119.81, 119.81 degrees
Positions (direct):
Te 0.503 0.256 0.256
Te 0.007 0.259 0.259
Te 0.993 0.741 0.741
Te 0.497 0.744 0.744
Te 0.000 0.252 0.748
Te 0.500 0.254 0.746
Te 0.500 0.746 0.254
Te 0.000 0.748 0.252
Ag 0.500 0.500 0.500
Ag 0.500 0.500 0.000
Ag 0.500 0.000 0.500
Sb 0.000 0.000 0.000
Sb 0.500 0.000 0.000
Sb 0.000 0.000 0.500
Sb 0.000 0.500 0.000